No. 1
VASP calculation (PBE) on a geometry-optimized LaMgBi structure.

## Properties
- size of the total moment (μB per atom) = 0.000
- E_tot (Ry per atom) = -0.2940
- relative energy among the computed polymorphs (eV/atom) = 0.000
- calculated volume (Å³ per cell) = 90.2

abc: 4.9264 4.9264 4.2914
angles: 90.00 90.00 120.00
Space group P-6m2 (No. 187)
Symmetry-distinct sites (fractional):
La  0.0000  0.0000  0.0000 [1 per cell]
Mg  0.6667  0.3333  0.5000 [1 per cell]
Bi  0.3333  0.6667  0.5000 [1 per cell]

No. 2
VASP calculation (PBE) on a geometry-optimized LaMg2Bi2 structure.

## Properties
- size of the total moment (μB per atom) = 0.000
- E_tot (Ry per atom) = -0.2599
- calculated volume (Å³ per cell) = 643.6

abc: 10.500 11.547 7.440
angles: 90.00 134.47 90.00
Space group C2/c (No. 15)
Symmetry-distinct sites (fractional):
La  0.000  0.128  0.250 [4 per cell]
Mg  0.150  0.371  0.749 [8 per cell]
Bi  0.000  0.153  0.750 [4 per cell]
Bi  0.000  0.410  0.250 [4 per cell]

No. 3
VASP calculation (PBE) on a geometry-optimized LaMg3Bi structure.

## Properties
- size of the total moment (μB per atom) = 0.000
- E_tot (Ry per atom) = -0.1767
- relative energy among the computed polymorphs (eV/atom) = 0.000
- calculated volume (Å³ per cell) = 169.4

abc: 5.533 5.533 5.533
angles: 90.00 90.00 90.00
Space group Pm-3m (No. 221)
Symmetry-distinct sites (fractional):
La  0.000  0.000  0.000 [1 per cell]
Mg  0.000  0.500  0.500 [3 per cell]
Bi  0.500  0.500  0.500 [1 per cell]

No. 4
VASP calculation (PBE) on a geometry-optimized LaMg3Bi structure.

## Properties
- size of the total moment (μB per atom) = 0.000
- E_tot (Ry per atom) = -0.1234
- relative energy among the computed polymorphs (eV/atom) = 0.725
- calculated volume (Å³ per cell) = 202.8

abc: 5.875 5.875 5.875
angles: 90.00 90.00 90.00
Space group Pm-3m (No. 221)
Symmetry-distinct sites (fractional):
La  0.000  0.000  0.000 [1 per cell]
Mg  0.000  0.000  0.500 [3 per cell]
Bi  0.500  0.500  0.500 [1 per cell]

No. 5
VASP calculation (PBE) on a geometry-optimized LaMgBi structure.

## Properties
- size of the total moment (μB per atom) = 0.305
- E_tot (Ry per atom) = -0.2759
- relative energy among the computed polymorphs (eV/atom) = 0.247
- calculated volume (Å³ per cell) = 619.1

abc: 4.6321 4.6321 33.3143
angles: 90.00 90.00 120.00
Space group R-3m (No. 166, hexagonal axes)
Symmetry-distinct sites (fractional):
La  0.0000  0.0000  0.1237 [6 per cell]
Mg  0.0000  0.0000  0.3041 [6 per cell]
Bi  0.0000  0.0000  0.3959 [6 per cell]

No. 6
VASP calculation (PBE) on a geometry-optimized LaMgBi2 structure.

## Properties
- size of the total moment (μB per atom) = 0.000
- E_tot (Ry per atom) = -0.2960
- calculated volume (Å³ per cell) = 514.3

abc: 8.353 8.353 7.370
angles: 90.00 90.00 90.00
Space group I-42d (No. 122)
Symmetry-distinct sites (fractional):
La  0.000  0.000  0.000 [4 per cell]
Mg  0.000  0.000  0.500 [4 per cell]
Bi  0.219  0.250  0.625 [8 per cell]

No. 7
VASP calculation (PBE) on a geometry-optimized La2MgBi4 structure.

## Properties
- size of the total moment (μB per atom) = 0.000
- E_tot (Ry per atom) = -0.3310
- relative energy among the computed polymorphs (eV/atom) = 0.000
- calculated volume (Å³ per cell) = 231.1

abc: 4.607 4.607 10.885
angles: 90.00 90.00 90.00
Space group P-4m2 (No. 115)
Symmetry-distinct sites (fractional):
La  0.000  0.500  0.242 [2 per cell]
Mg  0.000  0.000  0.500 [1 per cell]
Bi  0.000  0.000  0.000 [1 per cell]
Bi  0.000  0.500  0.669 [2 per cell]
Bi  0.500  0.500  0.000 [1 per cell]

No. 8
VASP calculation (PBE) on a geometry-optimized LaMgBi2 structure.

## Properties
- size of the total moment (μB per atom) = 0.000
- E_tot (Ry per atom) = -0.3046
- calculated volume (Å³ per cell) = 119.3

abc: 5.193 5.193 4.423
angles: 90.00 90.00 90.00
Space group P4/mmm (No. 123)
Symmetry-distinct sites (fractional):
La  0.000  0.000  0.000 [1 per cell]
Mg  0.500  0.500  0.000 [1 per cell]
Bi  0.000  0.500  0.500 [2 per cell]

No. 9
VASP calculation (PBE) on a geometry-optimized La2Mg2Bi structure.

## Properties
- size of the total moment (μB per atom) = 0.000
- E_tot (Ry per atom) = -0.2700
- calculated volume (Å³ per cell) = 310.1

abc: 7.839 7.839 5.046
angles: 90.00 90.00 90.00
Space group P4/mbm (No. 127)
Symmetry-distinct sites (fractional):
La  0.165  0.335  0.000 [4 per cell]
Mg  0.131  0.631  0.500 [4 per cell]
Bi  0.000  0.000  0.500 [2 per cell]

No. 10
VASP calculation (PBE) on a geometry-optimized La2Mg16Bi structure.

## Properties
- size of the total moment (μB per atom) = 0.000
- E_tot (Ry per atom) = -0.1598
- calculated volume (Å³ per cell) = 1434.8

abc: 10.4398 10.4398 15.2012
angles: 90.00 90.00 120.00
Space group R3m (No. 160, hexagonal axes)
Symmetry-distinct sites (fractional):
La  0.0000  0.0000  0.0000 [3 per cell]
La  0.0000  0.0000  0.3409 [3 per cell]
Mg  0.0000  0.0000  0.7678 [3 per cell]
Mg  0.0003  0.3105  0.6722 [18 per cell]
Mg  0.0166  0.5083  0.8276 [9 per cell]
Mg  0.1683  0.3366  0.8495 [9 per cell]
Mg  0.1699  0.3397  0.5051 [9 per cell]
Bi  0.0000  0.0000  0.5687 [3 per cell]

No. 11
VASP calculation (PBE) on a geometry-optimized La3MgBi4 structure.

## Properties
- size of the total moment (μB per atom) = 0.000
- E_tot (Ry per atom) = -0.3460
- calculated volume (Å³ per cell) = 287.9

abc: 6.603 6.603 6.603
angles: 90.00 90.00 90.00
Space group Pm-3m (No. 221)
Symmetry-distinct sites (fractional):
La  0.000  0.000  0.500 [3 per cell]
Mg  0.500  0.500  0.500 [1 per cell]
Bi  0.000  0.000  0.000 [1 per cell]
Bi  0.000  0.500  0.500 [3 per cell]

No. 12
VASP calculation (PBE) on a geometry-optimized LaMg2Bi3 structure.

## Properties
- size of the total moment (μB per atom) = 0.000
- E_tot (Ry per atom) = -0.2724
- calculated volume (Å³ per cell) = 367.7

abc: 4.423 12.405 6.701
angles: 90.00 90.00 90.00
Space group Pmc2_1 (No. 26)
Symmetry-distinct sites (fractional):
La  0.000  0.118  0.000 [2 per cell]
Mg  0.000  0.241  0.512 [2 per cell]
Mg  0.500  0.464  0.541 [2 per cell]
Bi  0.000  0.389  0.853 [2 per cell]
Bi  0.500  0.080  0.614 [2 per cell]
Bi  0.500  0.285  0.217 [2 per cell]

No. 13
VASP calculation (PBE) on a geometry-optimized La2MgBiN structure.

## Properties
- size of the total moment (μB per atom) = 0.309
- E_tot (Ry per atom) = -0.3416
- relative energy among the computed polymorphs (eV/atom) = 0.944
- calculated volume (Å³ per cell) = 136.9
- energy relative to the elements, uncorrected (eV per atom) = 0.083

abc: 6.000 6.000 3.802
angles: 90.00 90.00 90.00
Space group P4/mmm (No. 123)
Symmetry-distinct sites (fractional):
La  0.000  0.500  0.000 [2 per cell]
Mg  0.000  0.000  0.000 [1 per cell]
Bi  0.500  0.500  0.500 [1 per cell]
N  0.000  0.000  0.500 [1 per cell]

No. 14
VASP calculation (PBE) on a geometry-optimized La2MgBiN structure.

## Properties
- size of the total moment (μB per atom) = 0.000
- E_tot (Ry per atom) = -0.4110
- relative energy among the computed polymorphs (eV/atom) = 0.000
- calculated volume (Å³ per cell) = 121.6
- energy relative to the elements, uncorrected (eV per atom) = -0.861

abc: 5.219 5.219 4.463
angles: 90.00 90.00 90.00
Space group P4/mmm (No. 123)
Symmetry-distinct sites (fractional):
La  0.000  0.500  0.000 [2 per cell]
Mg  0.000  0.000  0.500 [1 per cell]
Bi  0.500  0.500  0.500 [1 per cell]
N  0.000  0.000  0.000 [1 per cell]

No. 15
VASP calculation (PBE) on a geometry-optimized LaNdMgBi structure.

## Properties
- size of the total moment (μB per atom) = 0.000
- E_tot (Ry per atom) = -0.3084
- calculated volume (Å³ per cell) = 496.9

abc: 7.920 7.920 7.920
angles: 90.00 90.00 90.00
Space group F-43m (No. 216)
Symmetry-distinct sites (fractional):
La  0.000  0.000  0.000 [4 per cell]
Nd  0.000  0.000  0.500 [4 per cell]
Mg  0.250  0.250  0.250 [4 per cell]
Bi  0.250  0.250  0.750 [4 per cell]

No. 16
VASP calculation (PBE) on a geometry-optimized La2MgNiBi structure.

## Properties
- size of the total moment (μB per atom) = 0.000
- E_tot (Ry per atom) = -0.2958
- relative energy among the computed polymorphs (eV/atom) = 0.713
- calculated volume (Å³ per cell) = 154.3

abc: 5.885 5.885 4.455
angles: 90.00 90.00 90.00
Space group P4/mmm (No. 123)
Symmetry-distinct sites (fractional):
La  0.000  0.500  0.000 [2 per cell]
Mg  0.000  0.000  0.000 [1 per cell]
Ni  0.000  0.000  0.500 [1 per cell]
Bi  0.500  0.500  0.500 [1 per cell]

No. 17
VASP calculation (PBE) on a geometry-optimized La2MgNiBi structure.

## Properties
- size of the total moment (μB per atom) = 0.000
- E_tot (Ry per atom) = -0.3483
- relative energy among the computed polymorphs (eV/atom) = 0.000
- calculated volume (Å³ per cell) = 142.6

abc: 5.361 5.361 4.964
angles: 90.00 90.00 90.00
Space group P4/mmm (No. 123)
Symmetry-distinct sites (fractional):
La  0.000  0.500  0.000 [2 per cell]
Mg  0.000  0.000  0.500 [1 per cell]
Ni  0.000  0.000  0.000 [1 per cell]
Bi  0.500  0.500  0.500 [1 per cell]

No. 18
VASP calculation (PBE) on a geometry-optimized LaMg2NiBi structure.

## Properties
- size of the total moment (μB per atom) = 0.000
- E_tot (Ry per atom) = -0.2870
- calculated volume (Å³ per cell) = 127.6

abc: 4.974 4.974 5.157
angles: 90.00 90.00 90.00
Space group P4/mmm (No. 123)
Symmetry-distinct sites (fractional):
La  0.000  0.000  0.000 [1 per cell]
Mg  0.000  0.500  0.500 [2 per cell]
Ni  0.000  0.000  0.500 [1 per cell]
Bi  0.500  0.500  0.000 [1 per cell]

No. 19
VASP calculation (PBE) on a geometry-optimized La2MgBiO6 structure.

## Properties
- size of the total moment (μB per atom) = 0.000
- E_tot (Ry per atom) = -0.5157
- calculated volume (Å³ per cell) = 292.6
- energy relative to the elements, uncorrected (eV per atom) = -2.509

abc: 10.218 5.848 5.838
angles: 90.00 122.98 90.00
Space group C2/m (No. 12)
Symmetry-distinct sites (fractional):
La  0.247  0.000  0.219 [4 per cell]
Mg  0.000  0.500  0.000 [2 per cell]
Bi  0.000  0.000  0.500 [2 per cell]
O  0.074  0.258  0.834 [8 per cell]
O  0.246  0.500  0.372 [4 per cell]

No. 20
VASP calculation (PBE) on a geometry-optimized La2MgBiOs structure.

## Properties
- size of the total moment (μB per atom) = 0.000
- E_tot (Ry per atom) = -0.4148
- calculated volume (Å³ per cell) = 153.5

abc: 5.471 5.471 5.129
angles: 90.00 90.00 90.00
Space group P4/mmm (No. 123)
Symmetry-distinct sites (fractional):
La  0.000  0.500  0.000 [2 per cell]
Mg  0.000  0.000  0.500 [1 per cell]
Bi  0.500  0.500  0.500 [1 per cell]
Os  0.000  0.000  0.000 [1 per cell]

No. 21
VASP calculation (PBE) on a geometry-optimized LaMg2BiPd structure.

## Properties
- size of the total moment (μB per atom) = 0.000
- E_tot (Ry per atom) = -0.1710
- calculated volume (Å³ per cell) = 225.0

abc: 6.138 6.138 5.972
angles: 90.00 90.00 90.00
Space group P4/mmm (No. 123)
Symmetry-distinct sites (fractional):
La  0.000  0.000  0.000 [1 per cell]
Mg  0.000  0.500  0.000 [2 per cell]
Bi  0.000  0.000  0.500 [1 per cell]
Pd  0.500  0.500  0.500 [1 per cell]

No. 22
VASP calculation (PBE) on a geometry-optimized LaPrMgBi structure.

## Properties
- size of the total moment (μB per atom) = 0.000
- E_tot (Ry per atom) = -0.3090
- calculated volume (Å³ per cell) = 501.6

abc: 7.946 7.946 7.946
angles: 90.00 90.00 90.00
Space group F-43m (No. 216)
Symmetry-distinct sites (fractional):
La  0.000  0.000  0.000 [4 per cell]
Pr  0.000  0.000  0.500 [4 per cell]
Mg  0.250  0.250  0.750 [4 per cell]
Bi  0.250  0.250  0.250 [4 per cell]

No. 23
VASP calculation (PBE) on a geometry-optimized LaMg2BiPt structure.

## Properties
- size of the total moment (μB per atom) = 0.000
- E_tot (Ry per atom) = -0.3113
- calculated volume (Å³ per cell) = 142.5

abc: 5.079 5.079 5.527
angles: 90.00 90.00 90.00
Space group P4/mmm (No. 123)
Symmetry-distinct sites (fractional):
La  0.000  0.000  0.000 [1 per cell]
Mg  0.000  0.500  0.500 [2 per cell]
Bi  0.500  0.500  0.000 [1 per cell]
Pt  0.000  0.000  0.500 [1 per cell]

No. 24
VASP calculation (PBE) on a geometry-optimized La2PuMg2Bi4 structure.

## Properties
- size of the total moment (μB per atom) = 0.663
- E_tot (Ry per atom) = -0.3931
- calculated volume (Å³ per cell) = 566.0

abc: 16.441 4.590 7.973
angles: 90.00 109.85 90.00
Space group C2/m (No. 12)
Symmetry-distinct sites (fractional):
La  0.127  0.000  0.077 [4 per cell]
Pu  0.000  0.000  0.500 [2 per cell]
Mg  0.174  0.500  0.496 [4 per cell]
Bi  0.002  0.500  0.222 [4 per cell]
Bi  0.214  0.000  0.743 [4 per cell]

No. 25
VASP calculation (PBE) on a geometry-optimized La2MgBiRh structure.

## Properties
- size of the total moment (μB per atom) = 0.000
- E_tot (Ry per atom) = -0.3827
- calculated volume (Å³ per cell) = 151.8

abc: 5.479 5.479 5.058
angles: 90.00 90.00 90.00
Space group P4/mmm (No. 123)
Symmetry-distinct sites (fractional):
La  0.000  0.500  0.000 [2 per cell]
Mg  0.000  0.000  0.500 [1 per cell]
Bi  0.500  0.500  0.500 [1 per cell]
Rh  0.000  0.000  0.000 [1 per cell]

No. 26
VASP calculation (PBE) on a geometry-optimized LaSmMgBi structure.

## Properties
- size of the total moment (μB per atom) = 0.000
- E_tot (Ry per atom) = -0.3066
- calculated volume (Å³ per cell) = 489.5

abc: 7.881 7.881 7.881
angles: 90.00 90.00 90.00
Space group F-43m (No. 216)
Symmetry-distinct sites (fractional):
La  0.000  0.000  0.000 [4 per cell]
Sm  0.000  0.000  0.500 [4 per cell]
Mg  0.250  0.250  0.750 [4 per cell]
Bi  0.250  0.250  0.250 [4 per cell]